Below is crystalline YHgSe2 at its relaxed geometry, with properties calculated at the PBE level.

Cell and atoms, written as extended XYZ:
```
4
Lattice="-0.291 -7.866 -1.639 2.701 -7.440 1.414 -1.461 -7.507 2.479" Properties=species:S:1:pos:R:3 pbc="T T T"
Hg 0.708 -17.028 1.682
Se 0.031 -0.756 0.075
Se 0.210 -5.046 0.498
Y 0.474 -11.390 1.125
```

Output
The total energy is -0.31306 Ry per atom.



Below is crystalline AcPmTeP at its relaxed geometry, with properties calculated at the PBE level.

Cell and atoms, written as extended XYZ:
```
4
Lattice="4.318 -0.001 0.000 -2.158 3.740 0.000 -2.158 -1.246 7.750" Properties=species:S:1:pos:R:3 pbc="T T T"
Te 2.567 0.974 2.950
Ac -1.751 3.467 0.611
Pm 0.408 -0.273 5.078
P -1.750 0.973 6.626
```

Output
The total energy is -0.43048 Ry per atom.



Below is crystalline HoTm2TlC at its relaxed geometry, with properties calculated at the PBE level.

Cell and atoms, written as extended XYZ:
```
5
Lattice="-4.419 1.883 -0.912 0.886 -0.222 -4.752 -1.872 -4.460 -0.141" Properties=species:S:1:pos:R:3 pbc="T T T"
Tm 0.443 -0.111 -2.376
Tl -2.702 -1.399 -2.902
C 0.000 0.000 0.000
Tm -0.936 -2.230 -0.071
Ho -2.209 0.942 -0.456
```

Output
The formation energy is -0.49 eV/atom.



Below is crystalline CsY2SnPt at its relaxed geometry, with properties calculated at the PBE level.

Cell and atoms, written as extended XYZ:
```
5
Lattice="-1.831 5.545 -0.574 -4.903 -1.546 0.704 0.582 0.791 5.785" Properties=species:S:1:pos:R:3 pbc="T T T"
Sn 0.000 0.000 0.000
Y 0.291 0.395 2.893
Y -0.915 2.773 -0.287
Pt -2.451 -0.773 0.352
Cs -3.076 2.395 2.958
```

Output
The formation energy is 0.30 eV/atom.



Below is crystalline CsPuBr6 at its relaxed geometry, with properties calculated at the PBE level.

Cell and atoms, written as extended XYZ:
```
8
Lattice="-0.120 6.369 -3.028 1.386 -4.054 -5.603 -6.911 -1.186 0.759" Properties=species:S:1:pos:R:3 pbc="T T T"
Br -4.352 -1.349 -5.068
Br -4.879 2.297 -4.168
Br -1.977 1.294 -6.393
Pu -2.823 0.564 -3.936
Cs 0.000 0.000 0.000
Br -0.766 -1.168 -3.704
Br -3.669 -0.165 -1.479
Br -1.293 2.478 -2.804
```

Output
As for the energy above the most stable polymorph in this dataset: 0.0000 eV/atom.



Below is crystalline K2RbPdF6 at its relaxed geometry, with properties calculated at the PBE level.

Cell and atoms, written as extended XYZ:
```
20
Lattice="6.319 0.000 -0.191 0.000 6.490 0.000 -0.225 0.000 9.294" Properties=species:S:1:pos:R:3 pbc="T T T"
F 5.118 4.883 8.449
F 0.975 1.608 0.653
Pd 3.047 0.000 4.551
K 0.039 6.140 2.277
F 4.022 1.637 5.205
F 2.072 4.853 3.898
K 3.007 2.895 2.275
F 4.609 5.364 5.070
K 3.086 3.595 6.828
F 0.616 2.841 7.267
F 1.484 1.127 4.032
Pd 0.000 3.245 0.000
F 4.531 2.119 8.583
F 2.205 6.086 6.577
Rb -0.113 3.245 4.647
F 1.562 4.372 0.519
F 3.888 0.405 2.525
K 6.054 0.350 6.826
Rb 3.159 0.000 -0.096
F 5.477 3.650 1.835
```

Output
As for the energy above the most stable polymorph in this dataset: 0.0000 eV/atom.



Below is crystalline PrPaPdRu at its relaxed geometry, with properties calculated at the PBE level.

Cell and atoms, written as extended XYZ:
```
4
Lattice="4.977 0.000 0.000 2.489 4.311 0.000 2.489 1.437 4.064" Properties=species:S:1:pos:R:3 pbc="T T T"
Pa 0.000 0.000 0.000
Pr 4.977 2.874 2.032
Pd 7.466 4.311 3.048
Ru 2.489 1.437 1.016
```

Output
The formation energy is -0.31 eV/atom.



Below is crystalline Y6Fe2Sb at its relaxed geometry, with properties calculated at the PBE level.

Cell and atoms, written as extended XYZ:
```
18
Lattice="7.839 0.507 -3.106 -4.454 6.899 -1.982 0.163 -0.507 8.431" Properties=species:S:1:pos:R:3 pbc="T T T"
Y 2.478 4.888 -0.297
Sb 0.000 0.000 0.000
Y 1.071 2.011 3.639
Fe 0.005 6.217 -0.008
Sb -2.145 3.196 3.224
Y 4.069 2.518 -2.688
Y -2.811 5.522 0.476
Fe 2.072 4.533 -3.114
Y 2.902 1.377 0.566
Y 6.117 0.386 -0.519
Y 3.809 3.824 2.951
Fe 1.314 2.873 -1.974
Y 6.359 1.377 2.866
Y -0.520 4.381 6.030
Y 0.647 5.522 2.776
Y -0.261 3.075 0.392
Fe 3.543 0.682 3.350
Y -2.569 6.514 3.861
```

Output
As for the energy above the most stable polymorph in this dataset: 0.0000 eV/atom.



Below is crystalline LaIn3 at its relaxed geometry, with properties calculated at the PBE level.

Cell and atoms, written as extended XYZ:
```
4
Lattice="-4.931 1.704 0.180 -0.808 -2.072 -2.524 -1.428 -4.576 4.213" Properties=species:S:1:pos:R:3 pbc="T T T"
In -0.614 -1.580 -1.870
In -1.312 -3.817 0.191
In -4.143 -4.134 1.357
La -3.024 -0.810 0.512
```

Output
The formation energy is -0.31 eV/atom.



Below is crystalline InGeIBr4 at its relaxed geometry, with properties calculated at the PBE level.

Cell and atoms, written as extended XYZ:
```
14
Lattice="-7.676 3.707 -0.846 -6.033 -5.539 -2.512 -11.162 -3.182 6.648" Properties=species:S:1:pos:R:3 pbc="T T T"
Br -14.173 -2.900 2.117
Br -18.211 -1.823 3.275
Br -6.660 -3.190 0.015
Br -17.141 -2.933 -0.629
Br -10.698 -2.113 1.173
I -11.804 -1.599 -2.769
Br -17.542 -5.589 2.596
In -16.633 -3.293 1.871
Ge -14.431 -2.296 -1.489
I -13.066 -3.414 6.059
Br -7.730 -2.080 3.919
Br -7.329 0.576 0.694
In -8.237 -1.720 1.419
Ge -10.440 -2.717 4.779
```

Output
The total energy is -0.20916 Ry per atom.



Below is crystalline Rb2NaSeF6 at its relaxed geometry, with properties calculated at the PBE level.

Cell and atoms, written as extended XYZ:
```
10
Lattice="-4.970 -0.528 3.994 3.574 -3.505 3.983 0.543 1.539 6.004" Properties=species:S:1:pos:R:3 pbc="T T T"
F -2.860 -1.263 3.991
F -0.827 -2.404 8.901
F -0.026 -0.091 5.080
Se 0.000 0.000 0.000
Na -0.698 -2.017 3.988
F -1.051 -3.038 6.007
F 1.464 -2.770 3.986
Rb -2.562 -0.503 6.993
F -0.345 -0.996 1.969
Rb 1.709 -1.992 6.988
```

Output
As for the energy above the most stable polymorph in this dataset: 0.0163 eV/atom.



Below is crystalline BaScTe2 at its relaxed geometry, with properties calculated at the PBE level.

Cell and atoms, written as extended XYZ:
```
4
Lattice="6.174 -0.002 0.028 0.655 6.140 -0.028 -2.269 -4.343 3.757" Properties=species:S:1:pos:R:3 pbc="T T T"
Te 3.729 3.352 0.000
Ba 0.900 2.433 1.864
Sc 3.660 -0.638 1.892
Te 6.514 5.854 0.000
```

Output
As for the energy above the most stable polymorph in this dataset: 0.2537 eV/atom.



Below is crystalline Fe7W at its relaxed geometry, with properties calculated at the PBE level.

Cell and atoms, written as extended XYZ:
```
8
Lattice="3.445 0.000 -0.846 -0.208 3.439 -0.846 0.042 0.044 7.606" Properties=species:S:1:pos:R:3 pbc="T T T"
Fe 2.156 0.461 1.343
Fe 1.619 1.719 -0.846
W 0.000 0.000 0.000
Fe 2.949 1.303 4.571
Fe 0.330 2.180 1.343
Fe 0.833 0.885 3.393
Fe 2.446 2.598 2.521
Fe 1.123 3.022 4.571
```

Output
As for the energy above the most stable polymorph in this dataset: 0.0000 eV/atom. The formation energy is 0.13 eV/atom.



Below is crystalline Ce2HgBi3 at its relaxed geometry, with properties calculated at the PBE level.

Cell and atoms, written as extended XYZ:
```
6
Lattice="4.315 0.000 -1.365 0.000 4.744 0.000 0.328 0.000 8.541" Properties=species:S:1:pos:R:3 pbc="T T T"
Hg 0.000 0.000 0.000
Ce 3.922 2.372 4.896
Bi 1.622 0.000 5.126
Bi 2.157 2.372 -0.682
Ce 0.721 2.372 2.280
Bi 3.022 0.000 2.049
```

Output
As for the energy above the most stable polymorph in this dataset: 0.0000 eV/atom. The formation energy is -0.57 eV/atom.



Below is crystalline SiOsPbI2 at its relaxed geometry, with properties calculated at the PBE level.

Cell and atoms, written as extended XYZ:
```
5
Lattice="-0.494 5.212 -1.323 -5.267 -0.372 0.501 0.400 1.360 5.211" Properties=species:S:1:pos:R:3 pbc="T T T"
I -0.247 2.606 -0.661
Os 0.000 0.000 0.000
I 0.200 0.680 2.605
Si -2.681 3.100 2.194
Pb -2.633 -0.186 0.251
```

Output
The total energy is -0.26230 Ry per atom.



Below is crystalline SrMgAl2 at its relaxed geometry, with properties calculated at the PBE level.

Cell and atoms, written as extended XYZ:
```
4
Lattice="-4.997 2.021 5.137 1.425 -5.350 -0.839 0.965 -0.240 3.176" Properties=species:S:1:pos:R:3 pbc="T T T"
Al -2.016 0.890 4.156
Mg 1.195 -2.795 1.168
Sr -1.786 -1.664 2.149
Al 0.000 0.000 0.000
```

Output
The formation energy is 0.09 eV/atom.



Number 1: M_tot 0.00 μB per cell. Number 2: M_tot 0.00 μB per cell. Number 3: M_tot 0.00 μB per cell. Number 4: M_tot 0.00 μB per cell. Number 5: M_tot 3.00 μB per cell. Number 6: M_tot 2.00 μB per cell. Number 7: M_tot 0.37 μB per cell. Number 8: M_tot 0.74 μB per cell. Number 9: M_tot 0.00 μB per cell. Number 10: M_tot 0.00 μB per cell. Number 11: M_tot 1.00 μB per cell. Number 12: M_tot 0.94 μB per cell. Number 13: M_tot 7.12 μB per cell. Number 14: M_tot 1.55 μB per cell. Number 15: M_tot 0.71 μB per cell. Number 16: M_tot 0.00 μB per cell.